! HfSi3Br, optimized geometry, DFT PBE; values from VASP
! Final energy = -4.2970 eV/atom
! Mass density = 5.2 g/cm3
! Formation energy (no corrections) = 6.41 eV per formula unit
! Distance to the lowest polymorph of the same formula = 444.1 meV per atom
&SYSTEM
  ibrav = 0, nat = 5, ntyp = 3
/
ATOMIC_SPECIES
Si 28.09 Si.upf
Hf 178.49 Hf.upf
Br 79.90 Br.upf
CELL_PARAMETERS angstrom
-1.240 4.208 -1.882
-3.979 -1.961 -1.762
-2.326 1.111 4.017
ATOMIC_POSITIONS crystal
Si 0.000 0.500 0.000
Si 0.500 0.000 0.000
Si 0.000 0.000 0.500
Hf 0.500 0.500 0.500
Br 0.000 0.000 0.000